Li2MgBr4 | Alexandria | PBE | relaxed; E_form (uncorrected) = -1491 meV/atom; crystal system = tetragonal
1.0
-3.025 3.025 5.762
3.025 -3.025 5.762
3.025 3.025 -5.762
Li Mg Br
2 1 4
Direct
0.250 0.750 0.500 Li
0.750 0.250 0.500 Li
0.000 0.000 0.000 Mg
0.115 0.115 0.482 Br
0.368 0.885 0.000 Br
0.632 0.632 0.518 Br
0.885 0.368 0.000 Br

LiMgBr2 | Alexandria | PBE | relaxed; E_form (uncorrected) = -965 meV/atom; crystal system = trigonal
1.0
2.008 1.160 9.983
-2.008 1.160 9.983
0.000 -2.319 9.983
Li Mg Br
1 1 2
Direct
0.000 0.000 0.000 Li
0.791 0.791 0.791 Mg
0.314 0.314 0.314 Br
0.506 0.506 0.506 Br

Li2MgBr | Alexandria | PBE | relaxed; E_form (uncorrected) = -393 meV/atom; crystal system = tetragonal
1.0
4.896 0.000 0.000
0.000 4.896 0.000
0.000 0.000 3.705
Li Mg Br
2 1 1
Direct
0.000 0.500 0.000 Li
0.500 0.000 0.000 Li
0.000 0.000 0.500 Mg
0.500 0.500 0.500 Br

LiMgBr2 | Alexandria | PBE | relaxed; E_form (uncorrected) = -997 meV/atom; crystal system = trigonal
1.0
1.968 1.136 8.175
-1.968 1.136 8.175
0.000 -2.272 8.175
Li Mg Br
1 1 2
Direct
0.000 0.000 0.000 Li
0.500 0.500 0.500 Mg
0.395 0.395 0.395 Br
0.605 0.605 0.605 Br

LiMg3Br | Alexandria | PBE | relaxed; E_form (uncorrected) = 109 meV/atom; crystal system = cubic
1.0
5.211 0.000 0.000
0.000 5.211 0.000
0.000 0.000 5.211
Li Mg Br
1 3 1
Direct
0.000 0.000 0.000 Li
0.000 0.000 0.500 Mg
0.000 0.500 0.000 Mg
0.500 0.000 0.000 Mg
0.500 0.500 0.500 Br

LiMgBr3 | Alexandria | PBE | relaxed; E_form (uncorrected) = -1215 meV/atom; crystal system = cubic
1.0
5.289 0.000 0.000
0.000 5.289 0.000
0.000 0.000 5.289
Li Mg Br
1 1 3
Direct
0.000 0.000 0.000 Li
0.500 0.500 0.500 Mg
0.000 0.500 0.500 Br
0.500 0.000 0.500 Br
0.500 0.500 0.000 Br

LiMgBr2 | Alexandria | PBE | relaxed; E_form (uncorrected) = -962 meV/atom; crystal system = tetragonal
1.0
-3.222 3.222 6.090
3.222 -3.222 6.090
3.222 3.222 -6.090
Li Mg Br
2 2 4
Direct
0.000 0.000 0.000 Li
0.750 0.250 0.500 Li
0.250 0.750 0.500 Mg
0.500 0.500 0.000 Mg
0.090 0.625 0.965 Br
0.375 0.340 0.465 Br
0.660 0.125 0.035 Br
0.875 0.910 0.535 Br

Li3MgBr | Alexandria | PBE | relaxed; E_form (uncorrected) = -339 meV/atom; crystal system = cubic
1.0
4.979 0.000 0.000
0.000 4.979 0.000
0.000 0.000 4.979
Li Mg Br
3 1 1
Direct
0.000 0.000 0.500 Li
0.000 0.500 0.000 Li
0.500 0.000 0.000 Li
0.500 0.500 0.500 Mg
0.000 0.000 0.000 Br

| no. | E above lowest polymorph (meV/atom) |
| --- | --- |
| 1 | 16 |
| 2 | 32 |
| 3 | 219 |
| 4 | 0 |
| 5 | 0 |
| 6 | 253 |
| 7 | 35 |
| 8 | 0 |